No. 1
The following is a GGA-PBE calculation of an optimized crystal structure of MnTcSe2, from Alexandria.

Its formation energy (no corrections) is 0.2457 eV per atom.

The space group is Fm-3m (No. 225) and the conventional cell measures 6.123, 6.123 and 6.123 Å, with angles of 90.00, 90.00 and 90.00 degrees. The inequivalent atoms are Mn at (0.000, 0.000, 0.000), Tc at (0.000, 0.000, 0.500) and Se at (0.250, 0.250, 0.250).

***

No. 2
The following is a GGA-PBE calculation of an optimized crystal structure of LaHoGePt, from Alexandria.

As for the formation energy: -0.88 eV per atom.

The space group is F-43m (No. 216) and the conventional cell measures 7.260, 7.260 and 7.260 Å, with angles of 90.00, 90.00 and 90.00 degrees. The inequivalent atoms are La at (0.000, 0.000, 0.000), Ho at (0.000, 0.000, 0.500), Ge at (0.250, 0.250, 0.750) and Pt at (0.250, 0.250, 0.250).

***

No. 3
The following is a GGA-PBE calculation of an optimized crystal structure of TbPmSm2H, from Alexandria.

The space group is P4/mmm (No. 123) and the conventional cell measures 5.090, 5.090 and 5.077 Å, with angles of 90.00, 90.00 and 90.00 degrees. The inequivalent atoms are Tb at (0.000, 0.000, 0.000), Pm at (0.500, 0.500, 0.000), Sm at (0.000, 0.500, 0.500) and H at (0.000, 0.000, 0.500).

***

No. 4
The following is a GGA-PBE calculation of an optimized crystal structure of PmPaAu, from Alexandria.

As for the formation energy: -0.01 eV per atom.

The space group is P3m1 (No. 156) and the conventional cell measures 5.0216, 5.0216 and 3.4419 Å, with angles of 90.00, 90.00 and 120.00 degrees. The inequivalent atoms are Pm at (0.0000, 0.0000, 0.0000), Pa at (0.3333, 0.6667, 0.6199) and Au at (0.6667, 0.3333, 0.3991).

***

No. 5
The following is a GGA-PBE calculation of an optimized crystal structure of Cs3PtN, from Alexandria.

Its formation energy (no corrections) is 0.7904 eV per atom.

The space group is Pm-3m (No. 221) and the conventional cell measures 6.579, 6.579 and 6.579 Å, with angles of 90.00, 90.00 and 90.00 degrees. The inequivalent atoms are Cs at (0.000, 0.000, 0.500), Pt at (0.000, 0.000, 0.000) and N at (0.500, 0.500, 0.500).

***

No. 6
The following is a GGA-PBE calculation of an optimized crystal structure of CePSe, from Alexandria.

Its formation energy (no corrections) is -1.2164 eV per atom.

The space group is C2/m (No. 12) and the conventional cell measures 8.768, 4.273 and 7.943 Å, with angles of 90.00, 100.82 and 90.00 degrees. The inequivalent atoms are Ce at (0.127, 0.000, 0.230), P at (0.083, 0.500, 0.919) and Se at (0.168, 0.000, 0.625).

***

No. 7
The following is a GGA-PBE calculation of an optimized crystal structure of LiVGa2, from Alexandria.

As for the formation energy: -0.11 eV per atom.

The space group is Fm-3m (No. 225) and the conventional cell measures 6.194, 6.194 and 6.194 Å, with angles of 90.00, 90.00 and 90.00 degrees. The inequivalent atoms are Li at (0.000, 0.000, 0.000), V at (0.000, 0.000, 0.500) and Ga at (0.250, 0.250, 0.250).

***

No. 8
The following is a GGA-PBE calculation of an optimized crystal structure of V3GaCu, from Alexandria.

As for the formation energy: 1.02 eV per atom.

The space group is Pm-3m (No. 221) and the conventional cell measures 4.388, 4.388 and 4.388 Å, with angles of 90.00, 90.00 and 90.00 degrees. The inequivalent atoms are V at (0.000, 0.000, 0.500), Ga at (0.500, 0.500, 0.500) and Cu at (0.000, 0.000, 0.000).

***

No. 9
The following is a GGA-PBE calculation of an optimized crystal structure of Cs3Cd4Hg4, from Alexandria.

As for the formation energy: -0.15 eV per atom.

The space group is I-43m (No. 217) and the conventional cell measures 9.408, 9.408 and 9.408 Å, with angles of 90.00, 90.00 and 90.00 degrees. The inequivalent atoms are Cs at (0.000, 0.000, 0.500), Cd at (0.127, 0.127, 0.873) and Hg at (0.192, 0.192, 0.192).

***

No. 10
The following is a GGA-PBE calculation of an optimized crystal structure of CaZr2Cl, from Alexandria.

Its formation energy (no corrections) is 0.3865 eV per atom.

The space group is P4/mmm (No. 123) and the conventional cell measures 5.496, 5.496 and 3.233 Å, with angles of 90.00, 90.00 and 90.00 degrees. The inequivalent atoms are Ca at (0.000, 0.000, 0.000), Zr at (0.000, 0.500, 0.500) and Cl at (0.500, 0.500, 0.000).

***

No. 11
The following is a GGA-PBE calculation of an optimized crystal structure of SrSiNi2, from Alexandria.

Its formation energy (no corrections) is 0.3911 eV per atom.

The space group is F-43m (No. 216) and the conventional cell measures 6.518, 6.518 and 6.518 Å, with angles of 90.00, 90.00 and 90.00 degrees. The inequivalent atoms are Sr at (0.000, 0.000, 0.000), Si at (0.250, 0.250, 0.750), Ni at (0.000, 0.000, 0.500) and Ni at (0.250, 0.250, 0.250).

***

No. 12
The following is a GGA-PBE calculation of an optimized crystal structure of Ge3NCl, from Alexandria.

Its formation energy (no corrections) is 0.7274 eV per atom.

The space group is Pm-3m (No. 221) and the conventional cell measures 4.611, 4.611 and 4.611 Å, with angles of 90.00, 90.00 and 90.00 degrees. The inequivalent atoms are Ge at (0.000, 0.000, 0.500), N at (0.000, 0.000, 0.000) and Cl at (0.500, 0.500, 0.500).

***

No. 13
The following is a GGA-PBE calculation of an optimized crystal structure of PbC, from Alexandria.

As for the formation energy: 2.17 eV per atom.

The space group is Cmmm (No. 65) and the conventional cell measures 3.526, 6.461 and 3.423 Å, with angles of 90.00, 90.00 and 90.00 degrees. The inequivalent atoms are Pb at (0.000, 0.000, 0.000) and C at (0.000, 0.500, 0.500).

***

Magnetic moment across the listed records, respectively: 0.000 0.000 0.000 0.490 2.000 0.458 8.140 1.125 0.000 0.000 0.000 0.000 0.943 μB per cell.
Uncorrected energy across the listed records, respectively: -6.3805 -5.9248 -4.6077 -5.8468 -2.5949 -6.1592 -4.3802 -5.8743 -0.8301 -4.8497 -4.2758 -4.0774 -4.2965 eV per atom.